# 1
Mn2ReSb: optimized geometry, PBEsol.

Summary:
ρ = 12.403 g/cm³
magnetic moment = 2.3 Bohr magnetons per cell
uncorrected formation energy = 325 meV/atom
calculated total energy = -9.028 eV/atom

The structure in CIF format:
```
data_Mn2ReSb
_chemical_formula_sum 'Mn2 Re1 Sb1'
_cell_length_a 2.898
_cell_length_b 4.348
_cell_length_c 4.440
_cell_angle_alpha 90.00
_cell_angle_beta 90.00
_cell_angle_gamma 90.00
_symmetry_space_group_name_H-M 'P 1'
_symmetry_Int_Tables_number 1
loop_
_symmetry_equiv_pos_as_xyz
'x,y,z'
loop_
_atom_site_label
_atom_site_type_symbol
_atom_site_fract_x
_atom_site_fract_y
_atom_site_fract_z
Mn1 Mn 0.000 0.000 0.000
Mn2 Mn 0.000 0.500 0.311
Re1 Re 0.500 0.500 0.843
Sb1 Sb 0.500 0.000 0.476
```

# 2
Co3Ir: optimized geometry, PBEsol.

Summary:
ρ = 13.629 g/cm³
magnetic moment = 3.6 Bohr magnetons per cell
calculated total energy = -8.210 eV/atom
formation energy from the elements = 0.05 eV per atom

The structure in CIF format:
```
data_Co3Ir
_chemical_formula_sum 'Co3 Ir1'
_cell_length_a 3.556
_cell_length_b 3.556
_cell_length_c 3.556
_cell_angle_alpha 90.00
_cell_angle_beta 90.00
_cell_angle_gamma 90.00
_symmetry_space_group_name_H-M 'P 1'
_symmetry_Int_Tables_number 1
loop_
_symmetry_equiv_pos_as_xyz
'x,y,z'
loop_
_atom_site_label
_atom_site_type_symbol
_atom_site_fract_x
_atom_site_fract_y
_atom_site_fract_z
Co1 Co 0.000 0.000 0.500
Co2 Co 0.000 0.500 0.000
Co3 Co 0.500 0.000 0.000
Ir1 Ir 0.500 0.500 0.500
```

# 3
TeAu2: optimized geometry, PBEsol.

Summary:
ρ = 13.301 g/cm³
magnetic moment = 0.0 Bohr magnetons per cell
uncorrected formation energy = 55 meV/atom
calculated total energy = -3.737 eV/atom

The structure in CIF format:
```
data_TeAu2
_chemical_formula_sum 'Te2 Au4'
_cell_length_a 6.196
_cell_length_b 6.196
_cell_length_c 5.586
_cell_angle_alpha 90.00
_cell_angle_beta 90.00
_cell_angle_gamma 142.61
_symmetry_space_group_name_H-M 'P 1'
_symmetry_Int_Tables_number 1
loop_
_symmetry_equiv_pos_as_xyz
'x,y,z'
loop_
_atom_site_label
_atom_site_type_symbol
_atom_site_fract_x
_atom_site_fract_y
_atom_site_fract_z
Te1 Te 0.165 0.835 0.750
Te2 Te 0.835 0.165 0.250
Au1 Au 0.159 0.841 0.250
Au2 Au 0.498 0.502 0.250
Au3 Au 0.502 0.498 0.750
Au4 Au 0.841 0.159 0.750
```

# 4
SrTa2Cr: optimized geometry, PBEsol.

Summary:
ρ = 10.614 g/cm³
magnetic moment = 3.1 Bohr magnetons per cell
calculated total energy = -8.191 eV/atom
formation energy from the elements = 1.11 eV per atom

The structure in CIF format:
```
data_SrTa2Cr
_chemical_formula_sum 'Sr1 Ta2 Cr1'
_cell_length_a 4.805
_cell_length_b 4.805
_cell_length_c 4.805
_cell_angle_alpha 60.00
_cell_angle_beta 60.00
_cell_angle_gamma 60.00
_symmetry_space_group_name_H-M 'P 1'
_symmetry_Int_Tables_number 1
loop_
_symmetry_equiv_pos_as_xyz
'x,y,z'
loop_
_atom_site_label
_atom_site_type_symbol
_atom_site_fract_x
_atom_site_fract_y
_atom_site_fract_z
Sr1 Sr 0.000 0.000 0.000
Ta1 Ta 0.250 0.250 0.250
Ta2 Ta 0.500 0.500 0.500
Cr1 Cr 0.750 0.750 0.750
```

# 5
RbBeHg3: optimized geometry, PBEsol.

Summary:
ρ = 4.279 g/cm³
magnetic moment = 0.0 Bohr magnetons per cell
calculated total energy = -0.329 eV/atom
formation energy from the elements = 1.02 eV per atom

The structure in CIF format:
```
data_RbBeHg3
_chemical_formula_sum 'Rb1 Be1 Hg3'
_cell_length_a 6.465
_cell_length_b 6.465
_cell_length_c 6.465
_cell_angle_alpha 90.00
_cell_angle_beta 90.00
_cell_angle_gamma 90.00
_symmetry_space_group_name_H-M 'P 1'
_symmetry_Int_Tables_number 1
loop_
_symmetry_equiv_pos_as_xyz
'x,y,z'
loop_
_atom_site_label
_atom_site_type_symbol
_atom_site_fract_x
_atom_site_fract_y
_atom_site_fract_z
Rb1 Rb 0.000 0.000 0.000
Be1 Be 0.500 0.500 0.500
Hg1 Hg 0.000 0.000 0.500
Hg2 Hg 0.000 0.500 0.000
Hg3 Hg 0.500 0.000 0.000
```

# 6
TlTcH2: optimized geometry, PBEsol.

Summary:
ρ = 11.899 g/cm³
magnetic moment = 0.0 Bohr magnetons per cell
calculated total energy = -4.024 eV/atom

The structure in CIF format:
```
data_TlTcH2
_chemical_formula_sum 'Tl1 Tc1 H2'
_cell_length_a 3.916
_cell_length_b 3.916
_cell_length_c 3.916
_cell_angle_alpha 60.00
_cell_angle_beta 60.00
_cell_angle_gamma 60.00
_symmetry_space_group_name_H-M 'P 1'
_symmetry_Int_Tables_number 1
loop_
_symmetry_equiv_pos_as_xyz
'x,y,z'
loop_
_atom_site_label
_atom_site_type_symbol
_atom_site_fract_x
_atom_site_fract_y
_atom_site_fract_z
Tl1 Tl 0.000 0.000 0.000
Tc1 Tc 0.500 0.500 0.500
H1 H 0.250 0.250 0.250
H2 H 0.750 0.750 0.750
```

# 7
Mg2ZnIr: optimized geometry, PBEsol.

Summary:
ρ = 8.228 g/cm³
magnetic moment = 0.0 Bohr magnetons per cell
calculated total energy = -3.921 eV/atom
formation energy from the elements = -0.21 eV per atom

The structure in CIF format:
```
data_Mg2ZnIr
_chemical_formula_sum 'Mg2 Zn1 Ir1'
_cell_length_a 4.418
_cell_length_b 4.418
_cell_length_c 3.166
_cell_angle_alpha 90.00
_cell_angle_beta 90.00
_cell_angle_gamma 90.11
_symmetry_space_group_name_H-M 'P 1'
_symmetry_Int_Tables_number 1
loop_
_symmetry_equiv_pos_as_xyz
'x,y,z'
loop_
_atom_site_label
_atom_site_type_symbol
_atom_site_fract_x
_atom_site_fract_y
_atom_site_fract_z
Mg1 Mg 0.000 0.500 0.000
Mg2 Mg 0.500 0.000 0.000
Zn1 Zn 0.000 0.000 0.500
Ir1 Ir 0.500 0.500 0.500
```

# 8
CsPbSCl2: optimized geometry, PBEsol.

Summary:
ρ = 4.661 g/cm³
magnetic moment = 0.0 Bohr magnetons per cell
uncorrected formation energy = -1042 meV/atom
calculated total energy = -3.710 eV/atom

The structure in CIF format:
```
data_CsPbSCl2
_chemical_formula_sum 'Cs1 Pb1 S1 Cl2'
_cell_length_a 5.556
_cell_length_b 5.556
_cell_length_c 5.114
_cell_angle_alpha 90.00
_cell_angle_beta 90.00
_cell_angle_gamma 90.00
_symmetry_space_group_name_H-M 'P 1'
_symmetry_Int_Tables_number 1
loop_
_symmetry_equiv_pos_as_xyz
'x,y,z'
loop_
_atom_site_label
_atom_site_type_symbol
_atom_site_fract_x
_atom_site_fract_y
_atom_site_fract_z
Cs1 Cs 0.000 0.000 0.000
Pb1 Pb 0.500 0.500 0.500
S1 S 0.500 0.500 0.000
Cl1 Cl 0.000 0.500 0.500
Cl2 Cl 0.500 0.000 0.500
```

# 9
MgNiAs2O7: optimized geometry, PBEsol.

Summary:
ρ = 4.327 g/cm³
magnetic moment = 8.0 Bohr magnetons per cell
uncorrected formation energy = -1392 meV/atom
calculated total energy = -6.377 eV/atom

The structure in CIF format:
```
data_MgNiAs2O7
_chemical_formula_sum 'Mg4 Ni4 As8 O28'
_cell_length_a 7.153
_cell_length_b 8.504
_cell_length_c 9.576
_cell_angle_alpha 90.00
_cell_angle_beta 114.67
_cell_angle_gamma 90.00
_symmetry_space_group_name_H-M 'P 1'
_symmetry_Int_Tables_number 1
loop_
_symmetry_equiv_pos_as_xyz
'x,y,z'
loop_
_atom_site_label
_atom_site_type_symbol
_atom_site_fract_x
_atom_site_fract_y
_atom_site_fract_z
Mg1 Mg 0.236 0.067 0.113
Mg2 Mg 0.236 0.433 0.613
Mg3 Mg 0.764 0.567 0.387
Mg4 Mg 0.764 0.933 0.887
Ni1 Ni 0.310 0.067 0.681
Ni2 Ni 0.310 0.433 0.181
Ni3 Ni 0.690 0.567 0.819
Ni4 Ni 0.690 0.933 0.319
As1 As 0.049 0.739 0.733
As2 As 0.049 0.761 0.233
As3 As 0.479 0.721 0.038
As4 As 0.479 0.779 0.538
As5 As 0.521 0.221 0.462
As6 As 0.521 0.279 0.962
As7 As 0.951 0.239 0.767
As8 As 0.951 0.261 0.267
O1 O 0.020 0.597 0.601
O2 O 0.020 0.903 0.101
O3 O 0.114 0.583 0.190
O4 O 0.114 0.917 0.690
O5 O 0.161 0.248 0.725
O6 O 0.161 0.252 0.225
O7 O 0.232 0.663 0.908
O8 O 0.232 0.837 0.408
O9 O 0.368 0.237 0.559
O10 O 0.368 0.263 0.059
O11 O 0.456 0.602 0.614
O12 O 0.456 0.898 0.114
O13 O 0.477 0.067 0.338
O14 O 0.477 0.433 0.838
O15 O 0.523 0.567 0.162
O16 O 0.523 0.933 0.662
O17 O 0.544 0.102 0.886
O18 O 0.544 0.398 0.386
O19 O 0.632 0.737 0.941
O20 O 0.632 0.763 0.441
O21 O 0.768 0.163 0.592
O22 O 0.768 0.337 0.092
O23 O 0.839 0.748 0.775
O24 O 0.839 0.752 0.275
O25 O 0.886 0.083 0.310
O26 O 0.886 0.417 0.810
O27 O 0.980 0.097 0.899
O28 O 0.980 0.403 0.399
```

# 10
BeFe2P: optimized geometry, PBEsol.

Summary:
ρ = 6.941 g/cm³
magnetic moment = 0.0 Bohr magnetons per cell
calculated total energy = -7.395 eV/atom
formation energy from the elements = -0.47 eV per atom

The structure in CIF format:
```
data_BeFe2P
_chemical_formula_sum 'Be1 Fe2 P1'
_cell_length_a 3.697
_cell_length_b 3.697
_cell_length_c 2.655
_cell_angle_alpha 90.00
_cell_angle_beta 90.00
_cell_angle_gamma 90.00
_symmetry_space_group_name_H-M 'P 1'
_symmetry_Int_Tables_number 1
loop_
_symmetry_equiv_pos_as_xyz
'x,y,z'
loop_
_atom_site_label
_atom_site_type_symbol
_atom_site_fract_x
_atom_site_fract_y
_atom_site_fract_z
Be1 Be 0.000 0.000 0.000
Fe1 Fe 0.000 0.500 0.500
Fe2 Fe 0.500 0.000 0.500
P1 P 0.500 0.500 0.000
```

# 11
Mg2AlBC: optimized geometry, PBEsol.

Summary:
ρ = 1.633 g/cm³
magnetic moment = 1.7 Bohr magnetons per cell
calculated total energy = -2.918 eV/atom
formation energy from the elements = 1.92 eV per atom

The structure in CIF format:
```
data_Mg2AlBC
_chemical_formula_sum 'Mg2 Al1 B1 C1'
_cell_length_a 5.111
_cell_length_b 5.111
_cell_length_c 3.831
_cell_angle_alpha 90.00
_cell_angle_beta 90.00
_cell_angle_gamma 90.00
_symmetry_space_group_name_H-M 'P 1'
_symmetry_Int_Tables_number 1
loop_
_symmetry_equiv_pos_as_xyz
'x,y,z'
loop_
_atom_site_label
_atom_site_type_symbol
_atom_site_fract_x
_atom_site_fract_y
_atom_site_fract_z
Mg1 Mg 0.000 0.500 0.000
Mg2 Mg 0.500 0.000 0.000
Al1 Al 0.000 0.000 0.000
B1 B 0.000 0.000 0.500
C1 C 0.500 0.500 0.500
```

# 12
InGeF3: optimized geometry, PBEsol.

Summary:
ρ = 4.980 g/cm³
magnetic moment = 0.0 Bohr magnetons per cell
uncorrected formation energy = -1408 meV/atom
calculated total energy = -4.149 eV/atom

The structure in CIF format:
```
data_InGeF3
_chemical_formula_sum 'In1 Ge1 F3'
_cell_length_a 4.336
_cell_length_b 4.336
_cell_length_c 4.336
_cell_angle_alpha 90.00
_cell_angle_beta 90.00
_cell_angle_gamma 90.00
_symmetry_space_group_name_H-M 'P 1'
_symmetry_Int_Tables_number 1
loop_
_symmetry_equiv_pos_as_xyz
'x,y,z'
loop_
_atom_site_label
_atom_site_type_symbol
_atom_site_fract_x
_atom_site_fract_y
_atom_site_fract_z
In1 In 0.000 0.000 0.000
Ge1 Ge 0.500 0.500 0.500
F1 F 0.000 0.000 0.500
F2 F 0.000 0.500 0.000
F3 F 0.500 0.000 0.000
```

Question: Among the records above, which one has the highest ρ?
Answer: Co3Ir

Question: Which of these has the highest magnetic moment?
Answer: MgNiAs2O7

Question: Number 11 is which compound?
Answer: Mg2AlBC

Question: Which value of magnetic moment does entry 11 give?
Answer: 1.7 Bohr magnetons per cell